1.
Cs3ZrSc3S8 | PBE-GGA | optimized geometry

abc: 7.642 7.642 9.254
angles: 114.39 90.00 120.00
Fractional positions:
Cs 0.000 0.000 0.000
Cs 0.000 0.500 0.000
Cs 0.500 0.500 0.000
Zr 0.000 0.000 0.500
Sc 0.500 0.000 0.500
Sc 0.500 0.500 0.500
Sc 0.000 0.500 0.500
S 0.276 0.552 0.329
S 0.724 0.448 0.671
S 0.777 0.553 0.327
S 0.223 0.447 0.673
S 0.777 0.050 0.327
S 0.223 0.950 0.673
S 0.273 0.050 0.327
S 0.727 0.950 0.673

2.
AcAgSnBr6 | PBE-GGA | optimized geometry

abc: 7.065 7.065 13.416
angles: 90.00 90.00 90.00
Fractional positions:
Ac 0.500 0.500 0.835
Ac 0.000 0.000 0.335
Ag 0.500 0.500 0.164
Ag 0.000 0.000 0.664
Sn 0.500 0.500 0.501
Sn 0.000 0.000 0.001
Br 0.199 0.801 0.509
Br 0.801 0.199 0.509
Br 0.301 0.301 0.009
Br 0.699 0.699 0.009
Br 0.201 0.799 0.164
Br 0.799 0.201 0.164
Br 0.299 0.299 0.664
Br 0.701 0.701 0.664
Br 0.807 0.193 0.827
Br 0.193 0.807 0.827
Br 0.693 0.693 0.327
Br 0.307 0.307 0.327

3.
Nd6Si2TeCl3 | PBE-GGA | optimized geometry

abc: 4.307 8.489 9.461
angles: 100.33 103.16 90.00
Fractional positions:
Nd 0.325 0.880 0.649
Nd 0.670 0.575 0.341
Nd 0.675 0.120 0.351
Nd 0.014 0.275 0.029
Nd 0.986 0.725 0.971
Nd 0.330 0.425 0.659
Si 0.830 0.659 0.660
Si 0.170 0.341 0.340
Te 0.500 0.000 0.000
Cl 0.500 0.500 0.000
Cl 0.838 0.161 0.675
Cl 0.162 0.839 0.325

4.
La2Tb3Ag3 | PBE-GGA | optimized geometry

Properties
E_form (eV per atom): -0.176

abc: 3.708 5.288 11.675
angles: 103.09 99.14 90.00
Fractional positions:
La 0.272 0.772 0.544
La 0.728 0.228 0.456
Tb 0.384 0.384 0.768
Tb 0.616 0.616 0.232
Tb 0.500 0.000 0.000
Ag 0.891 0.891 0.781
Ag 0.000 0.500 0.000
Ag 0.109 0.109 0.219

5.
MnCu2SiS4 | PBE-GGA | optimized geometry

abc: 6.188 6.416 7.511
angles: 90.00 90.00 90.00
Fractional positions:
Mn 0.330 0.155 0.000
Mn 0.830 0.845 0.500
Cu 0.321 0.677 0.749
Cu 0.821 0.323 0.751
Cu 0.321 0.677 0.251
Cu 0.821 0.323 0.249
Si 0.331 0.175 0.500
Si 0.831 0.825 0.000
S 0.982 0.188 0.500
S 0.482 0.812 0.000
S 0.450 0.336 0.267
S 0.950 0.664 0.233
S 0.941 0.144 0.000
S 0.441 0.856 0.500
S 0.450 0.336 0.733
S 0.950 0.664 0.767

6.
YZrHg2 | PBE-GGA | optimized geometry

Properties
E_form (eV per atom): -0.159

abc: 5.947 5.947 5.947
angles: 137.33 137.33 61.93
Fractional positions:
Hg 0.000 0.000 0.000
Hg 0.250 0.750 0.500
Y 0.500 0.500 0.000
Zr 0.750 0.250 0.500

7.
Co2BiS2 | PBE-GGA | optimized geometry

abc: 3.974 3.974 5.757
angles: 69.81 69.81 90.00
Fractional positions:
S 0.750 0.250 0.500
S 0.250 0.750 0.500
Co 0.365 0.365 0.269
Co 0.635 0.635 0.731
Bi 0.000 0.000 0.000

8.
Nd2Dy3Al3 | PBE-GGA | optimized geometry

Properties
E_form (eV per atom): -0.271

abc: 3.724 5.151 11.453
angles: 103.00 99.36 90.00
Fractional positions:
Nd 0.272 0.772 0.543
Nd 0.728 0.228 0.457
Dy 0.384 0.384 0.767
Dy 0.616 0.616 0.233
Dy 0.500 0.000 0.000
Al 0.887 0.887 0.775
Al 0.000 0.500 0.000
Al 0.113 0.113 0.225

9.
EuLuCoCu | PBE-GGA | optimized geometry

Properties
E_form (eV per atom): -0.014

abc: 4.836 4.836 4.836
angles: 60.00 60.00 60.00
Fractional positions:
Eu 0.500 0.500 0.500
Lu 0.000 0.000 0.000
Co 0.750 0.750 0.750
Cu 0.250 0.250 0.250

Number 1: electronic total energy -5.91 eV/atom, magnetic moment 0.00 μB per atom. Number 2: electronic total energy -3.53 eV/atom, magnetic moment 0.00 μB per atom. Number 3: electronic total energy -5.27 eV/atom, magnetic moment 0.00 μB per atom. Number 4: electronic total energy -4.21 eV/atom, magnetic moment 0.00 μB per atom. Number 5: electronic total energy -5.42 eV/atom, magnetic moment 0.62 μB per atom. Number 6: electronic total energy -4.06 eV/atom, magnetic moment 0.00 μB per atom. Number 7: electronic total energy -5.12 eV/atom, magnetic moment 0.00 μB per atom. Number 8: electronic total energy -4.59 eV/atom, magnetic moment 0.00 μB per atom. Number 9: electronic total energy -6.51 eV/atom, magnetic moment 1.66 μB per atom.